Entry 1:
Al2ZnCl2: optimized geometry, PBE.

Lattice parameters (Å, degrees): 5.4286 5.4286 10.6050 90.00 90.00 90.00
With the nearest neighbours (Å) after each atom.
Space group I4/mmm (No. 139)
Asymmetric unit:
Al (0.0000, 0.5000, 0.2500) [4 per cell]  4 Cl 2.85
Zn (0.0000, 0.0000, 0.0000) [2 per cell]  2 Cl 3.51, 8 Al 3.79
Cl (0.0000, 0.0000, 0.3305) [4 per cell]  4 Al 2.85

E above lowest polymorph	0.138	eV per atom
magnetization	0.000	μB per atom
formation energy (no corrections)	0.0431	eV/atom
energy	-2.4474	eV/atom

=====

Entry 2:
Pu2SiS4: optimized geometry, PBE.

Lattice parameters (Å, degrees): 6.3746 6.3746 7.3066 90.00 90.00 90.00
With the nearest neighbours (Å) after each atom.
Space group I4/mmm (No. 139)
Asymmetric unit:
Pu (0.0000, 0.5000, 0.2500) [4 per cell]  8 S 2.90
Si (0.0000, 0.0000, 0.0000) [2 per cell]  4 S 2.25
S (0.2495, 0.2495, 0.0000) [8 per cell]  1 Si 2.25

magnetization	1.506	μB per atom
formation energy (no corrections)	-1.0912	eV/atom
energy	-8.3193	eV/atom

=====

Entry 3:
Nd2GePd: optimized geometry, PBE.

Lattice parameters (Å, degrees): 6.0254 4.4209 8.1774 90.00 110.46 90.00
With the nearest neighbours (Å) after each atom.
Space group P2_1/m (No. 11)
Asymmetric unit:
Nd (0.2234, 0.2500, 0.4173) [2 per cell]  3 Pd 3.06-3.19, 4 Ge 3.11-3.20
Nd (0.2246, 0.2500, 0.9390) [2 per cell]  4 Pd 3.04-3.30, 3 Ge 3.12-3.20
Ge (0.3275, 0.7500, 0.7049) [2 per cell]  2 Pd 2.83, 5 Nd 3.11-3.13
Pd (0.3598, 0.7500, 0.2120) [2 per cell]  2 Ge 2.83, 5 Nd 3.04-3.16

magnetization	0.000	μB per atom
energy of formation from the pure elements	-799.7	meV/atom
energy	-5.6361	eV/atom